# 1
An optimized crystal structure of KCa2W, computed with PBE.

a b c (Å): 9.141 9.141 7.413
angles (deg): 51.93 51.93 90.00
Site moments in Bohr magnetons follow the coordinates.
Sites, in units of the cell vectors:
Ca 0.679 0.125 0.250  0.06
Ca 0.071 0.625 0.250  0.07
Ca 0.375 0.321 0.750  0.06
Ca 0.875 0.929 0.750  0.07
K 0.500 0.500 0.000  0.01
K 0.250 0.750 0.500  0.01
W 0.000 0.000 0.000  2.61
W 0.750 0.250 0.500  2.60

Calculated values
SG	I-42d, No. 122

=====

# 2
An optimized crystal structure of KCa2W, computed with PBE.

a b c (Å): 3.291 3.291 11.967
angles (deg): 90.00 90.00 90.12
Sites, in units of the cell vectors:
Ca 0.000 0.000 0.929
Ca 0.000 0.000 0.571
K 0.500 0.500 0.250
W 0.500 0.500 0.750

Calculated values
SG	Cmmm, No. 65

=====

# 3
An optimized crystal structure of KCaW2, computed with PBE.

a b c (Å): 6.405 6.405 6.405
angles (deg): 150.91 138.41 51.56
Sites, in units of the cell vectors:
Ca 0.750 0.250 0.500
K 0.250 0.750 0.500
W 0.993 0.993 0.000
W 0.507 0.507 0.000

Calculated values
SG	Immm, No. 71

=====

# 4
An optimized crystal structure of KCaW2, computed with PBE.

a b c (Å): 4.921 4.921 4.921
angles (deg): 60.00 60.00 60.00
Sites, in units of the cell vectors:
Ca 0.500 0.500 0.500
K 0.250 0.250 0.250
W 0.000 0.000 0.000
W 0.750 0.750 0.750

Calculated values
SG	F-43m, No. 216

=====

# 5
An optimized crystal structure of KCaW2, computed with PBE.

a b c (Å): 5.182 5.182 5.182
angles (deg): 60.00 60.00 60.00
Site moments in Bohr magnetons follow the coordinates.
Sites, in units of the cell vectors:
Ca 0.500 0.500 0.500  0.12
K 0.000 0.000 0.000  0.05
W 0.250 0.250 0.250  1.81
W 0.750 0.750 0.750  1.81

Calculated values
SG	Fm-3m, No. 225

=====

# 6
An optimized crystal structure of KCa2W, computed with PBE.

a b c (Å): 5.638 5.638 5.638
angles (deg): 60.00 60.00 60.00
Site moments in Bohr magnetons follow the coordinates.
Sites, in units of the cell vectors:
Ca 0.250 0.250 0.250  0.00
Ca 0.750 0.750 0.750  0.00
K 0.000 0.000 0.000  -0.01
W 0.500 0.500 0.500  2.28

Calculated values
SG	Fm-3m, No. 225

=====

# 7
An optimized crystal structure of KCaW2, computed with PBE.

a b c (Å): 2.809 5.315 7.437
angles (deg): 90.00 90.00 90.00
Sites, in units of the cell vectors:
Ca 0.500 0.500 0.250
K 0.500 0.500 0.750
W 0.000 0.000 0.090
W 0.000 0.000 0.410

Calculated values
SG	Pmmm, No. 47

=====

# 8
An optimized crystal structure of KCaW2, computed with PBE.

a b c (Å): 4.481 4.481 9.067
angles (deg): 86.82 86.82 40.51
Sites, in units of the cell vectors:
Ca 0.517 0.517 0.406
K 0.740 0.740 0.806
W 0.981 0.981 0.092
W 0.261 0.261 0.197

Calculated values
SG	Cm, No. 8

=====

no.,ΔE_f (eV/atom),density of states at the Fermi level (states/eV per cell),raw total energy (eV per atom)
1,1.3792,12.76,-3.134
2,0.8222,3.89,-3.691
3,1.3729,3.10,-5.878
4,1.5551,3.18,-5.696
5,2.4497,4.11,-4.802
6,1.1610,2.64,-3.353
7,1.2851,3.81,-5.966
8,0.9967,4.20,-6.255